Here is a relaxed TmTlCdI6 crystal from Alexandria via LeMat-Bulk. Energies are from GGA-PBE.

Lattice parameters (Å, degrees): 7.7771 7.7771 15.3581 90.00 90.00 120.00
Positions (direct):
Cd  0.3333  0.6667  0.7500
Tl  0.0000  0.0000  0.5000
I  0.9979  0.3661  0.6367
I  0.6339  0.0021  0.8633
I  0.0021  0.3682  0.1367
I  0.6318  0.6339  0.1367
Tm  0.6667  0.3333  0.7500
I  0.6339  0.6318  0.6367
I  0.3661  0.3682  0.3633
I  0.3661  0.9979  0.1367
I  0.9979  0.6318  0.8633
Cd  0.6667  0.3333  0.2500
I  0.6318  0.9979  0.3633
Tm  0.3333  0.6667  0.2500
I  0.3682  0.3661  0.8633
Tl  0.0000  0.0000  0.0000
I  0.0021  0.6339  0.3633
I  0.3682  0.0021  0.6367

Total moment, μB per atom: 0.000
Mass density, g/cm3: 5.15
V, Å³/atom: 44.7
SG: P-31c (163)
Total energy, eV per atom: -2.83
E_form (uncorrected), eV per atom: -0.933
Fermi-level density of states, states/eV/atom: 0.00

***

Here is a relaxed YTlCd2I crystal from Alexandria via LeMat-Bulk. Energies are from GGA-PBE.

Lattice parameters (Å, degrees): 5.4658 6.0996 5.4658 90.00 90.00 90.00
Positions (direct):
Cd  0.0000  0.0000  0.5000
Tl  0.0000  0.0000  0.0000
Y  0.0000  0.5000  0.0000
Cd  0.5000  0.0000  0.0000
I  0.5000  0.5000  0.5000

Total moment, μB per atom: 0.000
Mass density, g/cm3: 5.88
V, Å³/atom: 36.4
SG: P4/mmm (123)
Total energy, eV per atom: -2.32
E_form (uncorrected), eV per atom: 0.122
Fermi-level density of states, states/eV/atom: 0.65

***

Here is a relaxed YTlCdI6 crystal from Alexandria via LeMat-Bulk. Energies are from GGA-PBE.

Lattice parameters (Å, degrees): 7.8195 7.8195 15.3374 90.00 90.00 120.00
Positions (direct):
I  0.0014  0.3676  0.1356
I  0.0014  0.6338  0.3644
I  0.6324  0.9986  0.3644
I  0.3662  0.9986  0.1356
Cd  0.3333  0.6667  0.2500
I  0.6338  0.0014  0.8644
Y  0.3333  0.6667  0.7500
I  0.9986  0.6324  0.8644
I  0.3676  0.0014  0.6356
I  0.9986  0.3662  0.6356
Cd  0.6667  0.3333  0.7500
Y  0.6667  0.3333  0.2500
Tl  0.0000  0.0000  0.0000
I  0.3676  0.3662  0.8644
Tl  0.0000  0.0000  0.5000
I  0.6324  0.6338  0.1356
I  0.6338  0.6324  0.6356
I  0.3662  0.3676  0.3644

Total moment, μB per atom: 0.000
Mass density, g/cm3: 4.77
V, Å³/atom: 45.1
SG: P-31c (163)
Total energy, eV per atom: -3.06
E_form (uncorrected), eV per atom: -0.947
Fermi-level density of states, states/eV/atom: 0.00

***

Here is a relaxed TmCdI crystal from Alexandria via LeMat-Bulk. Energies are from GGA-PBE.

Lattice parameters (Å, degrees): 4.1647 4.2632 12.7238 90.00 90.00 90.00
Positions (direct):
Tm  0.0000  0.5000  0.3124
Tm  0.5000  0.0000  0.6876
I  0.5000  0.5000  0.1439
Cd  0.5000  0.5000  0.5100
I  0.0000  0.0000  0.8561
Cd  0.0000  0.0000  0.4900

Total moment, μB per atom: 0.000
Mass density, g/cm3: 6.00
V, Å³/atom: 37.7
SG: Pmmn (59)
Total energy, eV per atom: -2.75
E_form (uncorrected), eV per atom: -0.438
Fermi-level density of states, states/eV/atom: 0.54

***

Here is a relaxed TmCd2I6 crystal from Alexandria via LeMat-Bulk. Energies are from GGA-PBE.

Lattice parameters (Å, degrees): 7.8563 10.1604 10.1604 82.84 83.55 83.55
Positions (direct):
Tm  0.2500  0.0877  0.9123
I  0.6195  0.6496  0.1168
I  0.8353  0.5369  0.7188
Cd  0.3316  0.2251  0.4133
I  0.6647  0.2812  0.4631
I  0.1068  0.8092  0.9675
I  0.1195  0.1168  0.6496
I  0.6068  0.9675  0.8092
Cd  0.6684  0.7749  0.5867
Tm  0.7500  0.9123  0.0877
I  0.3353  0.7188  0.5369
I  0.1647  0.4631  0.2812
I  0.8932  0.1908  0.0325
Cd  0.8316  0.4133  0.2251
I  0.3932  0.0325  0.1908
I  0.8805  0.8832  0.3504
Cd  0.1684  0.5867  0.7749
I  0.3805  0.3504  0.8832

Total moment, μB per atom: 0.000
Mass density, g/cm3: 4.82
V, Å³/atom: 44.2
SG: C2/c (15)
Total energy, eV per atom: -2.48
E_form (uncorrected), eV per atom: -0.751
Fermi-level density of states, states/eV/atom: 0.40

***

Here is a relaxed UCdI2 crystal from Alexandria via LeMat-Bulk. Energies are from GGA-PBE.

Lattice parameters (Å, degrees): 3.8643 3.8643 12.3960 81.03 81.03 60.00
Positions (direct):
I  0.9213  0.9213  0.2360
I  0.0787  0.0787  0.7640
U  0.0000  0.0000  0.0000
Cd  0.5000  0.5000  0.5000

Total moment, μB per atom: 0.665
Mass density, g/cm3: 6.36
V, Å³/atom: 39.4
SG: R-3m (166)
Total energy, eV per atom: -3.60
E_form (uncorrected), eV per atom: 0.227
Fermi-level density of states, states/eV/atom: 2.01